No. 1
First-principles (PBE) data for an optimized crystal structure of LaMg2Tc, as listed in the Alexandria database.

CIF file:
```
data_LaMg2Tc
_symmetry_space_group_name_H-M 'C m m 2'
_symmetry_Int_Tables_number 35
_symmetry_space_group_name_Hall 'C 2 -2'
_cell_length_a 3.519
_cell_length_b 5.174
_cell_length_c 9.921
_cell_angle_alpha 90.00
_cell_angle_beta 90.00
_cell_angle_gamma 90.00
loop_
_atom_site_label
_atom_site_type_symbol
_atom_site_fract_x
_atom_site_fract_y
_atom_site_fract_z
La1 La 0.000 0.000 0.000
Mg1 Mg 0.000 0.000 0.424
Mg2 Mg 0.000 0.500 0.688
Tc1 Tc 0.000 0.500 0.217
```

Summary:
DFT formation energy: 0.254 eV per atom
DOS at the Fermi energy: 8.08 states/eV per cell
Distance to the lowest polymorph of the same formula: 130 meV per atom
Size of the total moment: 0.00 μB per atom
Raw total energy: -34.93 eV for the cell shown

No. 2
First-principles (PBE) data for an optimized crystal structure of LaMg2Tc, as listed in the Alexandria database.

CIF file:
```
data_LaMg2Tc
_symmetry_space_group_name_H-M 'F m -3 m'
_symmetry_Int_Tables_number 225
_symmetry_space_group_name_Hall '-F 4 2 3'
_cell_length_a 7.027
_cell_length_b 7.027
_cell_length_c 7.027
_cell_angle_alpha 90.00
_cell_angle_beta 90.00
_cell_angle_gamma 90.00
loop_
_atom_site_label
_atom_site_type_symbol
_atom_site_fract_x
_atom_site_fract_y
_atom_site_fract_z
La1 La 0.000 0.000 0.000
Mg1 Mg 0.250 0.250 0.250
Tc1 Tc 0.000 0.000 0.500
```

Summary:
DFT formation energy: 0.320 eV per atom
DOS at the Fermi energy: 11.15 states/eV per cell
Distance to the lowest polymorph of the same formula: 195 meV per atom
Size of the total moment: 0.00 μB per atom
Raw total energy: -68.81 eV for the cell shown

No. 3
First-principles (PBE) data for an optimized crystal structure of LaMg2Tc, as listed in the Alexandria database.

CIF file:
```
data_LaMg2Tc
_symmetry_space_group_name_H-M 'F -4 3 m'
_symmetry_Int_Tables_number 216
_symmetry_space_group_name_Hall 'F -4 2 3'
_cell_length_a 7.046
_cell_length_b 7.046
_cell_length_c 7.046
_cell_angle_alpha 90.00
_cell_angle_beta 90.00
_cell_angle_gamma 90.00
loop_
_atom_site_label
_atom_site_type_symbol
_atom_site_fract_x
_atom_site_fract_y
_atom_site_fract_z
La1 La 0.000 0.000 0.000
Mg1 Mg 0.000 0.000 0.500
Mg2 Mg 0.250 0.250 0.250
Tc1 Tc 0.250 0.250 0.750
```

Summary:
DFT formation energy: 0.261 eV per atom
DOS at the Fermi energy: 11.25 states/eV per cell
Distance to the lowest polymorph of the same formula: 136 meV per atom
Size of the total moment: 0.00 μB per atom
Raw total energy: -69.75 eV for the cell shown

No. 4
First-principles (PBE) data for an optimized crystal structure of La8MgTc2, as listed in the Alexandria database.

CIF file:
```
data_La8MgTc2
_symmetry_space_group_name_H-M 'C 1 2/m 1'
_symmetry_Int_Tables_number 12
_symmetry_space_group_name_Hall '-C 2y'
_cell_length_a 15.098
_cell_length_b 8.977
_cell_length_c 5.506
_cell_angle_alpha 90.00
_cell_angle_beta 100.57
_cell_angle_gamma 90.00
loop_
_atom_site_label
_atom_site_type_symbol
_atom_site_fract_x
_atom_site_fract_y
_atom_site_fract_z
La1 La 0.054 0.000 0.294
La2 La 0.128 0.280 0.886
La3 La 0.226 0.500 0.455
Mg1 Mg 0.000 0.500 0.500
Tc1 Tc 0.182 0.000 0.896
```

Summary:
DFT formation energy: 0.060 eV per atom
DOS at the Fermi energy: 25.91 states/eV per cell
Size of the total moment: 0.00 μB per atom
Raw total energy: -122.17 eV for the cell shown

No. 5
First-principles (PBE) data for an optimized crystal structure of La2MgTc, as listed in the Alexandria database.

CIF file:
```
data_La2MgTc
_symmetry_space_group_name_H-M 'I m m 2'
_symmetry_Int_Tables_number 44
_symmetry_space_group_name_Hall 'I 2 -2'
_cell_length_a 3.521
_cell_length_b 5.300
_cell_length_c 11.445
_cell_angle_alpha 90.00
_cell_angle_beta 90.00
_cell_angle_gamma 90.00
loop_
_atom_site_label
_atom_site_type_symbol
_atom_site_fract_x
_atom_site_fract_y
_atom_site_fract_z
La1 La 0.000 0.000 0.000
La2 La 0.000 0.500 0.195
Mg1 Mg 0.000 0.000 0.384
Tc1 Tc 0.000 0.500 0.692
```

Summary:
DFT formation energy: 0.120 eV per atom
DOS at the Fermi energy: 8.45 states/eV per cell
Size of the total moment: 0.00 μB per atom
Raw total energy: -42.67 eV for the cell shown

No. 6
First-principles (PBE) data for an optimized crystal structure of La2MgTc, as listed in the Alexandria database.

CIF file:
```
data_La2MgTc
_symmetry_space_group_name_H-M 'I -4 m 2'
_symmetry_Int_Tables_number 119
_symmetry_space_group_name_Hall 'I -4 -2'
_cell_length_a 4.689
_cell_length_b 4.689
_cell_length_c 8.838
_cell_angle_alpha 90.00
_cell_angle_beta 90.00
_cell_angle_gamma 90.00
loop_
_atom_site_label
_atom_site_type_symbol
_atom_site_fract_x
_atom_site_fract_y
_atom_site_fract_z
La1 La 0.000 0.000 0.000
La2 La 0.000 0.500 0.250
Mg1 Mg 0.000 0.500 0.750
Tc1 Tc 0.000 0.000 0.500
```

Summary:
DFT formation energy: 0.243 eV per atom
DOS at the Fermi energy: 11.48 states/eV per cell
Size of the total moment: 0.00 μB per atom
Raw total energy: -41.69 eV for the cell shown

No. 7
First-principles (PBE) data for an optimized crystal structure of LaMgTc, as listed in the Alexandria database.

CIF file:
```
data_LaMgTc
_symmetry_space_group_name_H-M 'P 3 m 1'
_symmetry_Int_Tables_number 156
_symmetry_space_group_name_Hall 'P 3 -2"'
_cell_length_a 4.7356
_cell_length_b 4.7356
_cell_length_c 3.3555
_cell_angle_alpha 90.00
_cell_angle_beta 90.00
_cell_angle_gamma 120.00
loop_
_atom_site_label
_atom_site_type_symbol
_atom_site_fract_x
_atom_site_fract_y
_atom_site_fract_z
La1 La 0.0000 0.0000 0.0000
Mg1 Mg 0.3333 0.6667 0.5046
Tc1 Tc 0.6667 0.3333 0.9545
```

Summary:
DFT formation energy: 0.305 eV per atom
DOS at the Fermi energy: 1.01 states/eV per cell
Distance to the lowest polymorph of the same formula: 281 meV per atom
Size of the total moment: 0.00 μB per atom
Raw total energy: -15.97 eV for the cell shown

No. 8
First-principles (PBE) data for an optimized crystal structure of La6Mg2Tc, as listed in the Alexandria database.

CIF file:
```
data_La6Mg2Tc
_symmetry_space_group_name_H-M 'C 1 2/m 1'
_symmetry_Int_Tables_number 12
_symmetry_space_group_name_Hall '-C 2y'
_cell_length_a 13.032
_cell_length_b 7.572
_cell_length_c 7.670
_cell_angle_alpha 90.00
_cell_angle_beta 125.93
_cell_angle_gamma 90.00
loop_
_atom_site_label
_atom_site_type_symbol
_atom_site_fract_x
_atom_site_fract_y
_atom_site_fract_z
La1 La 0.022 0.245 0.276
La2 La 0.242 0.000 0.785
Mg1 Mg 0.247 0.500 0.752
Tc1 Tc 0.000 0.500 0.000
```

Summary:
DFT formation energy: -0.015 eV per atom
DOS at the Fermi energy: 25.37 states/eV per cell
Size of the total moment: 0.00 μB per atom
Raw total energy: -86.52 eV for the cell shown